Material: RbCdInHg2
Method: DFT, GGA-PBE
State: optimized geometry

abc: 5.015 5.015 7.263
angles: 110.20 110.20 90.00
Atoms (fractional coordinates):
Hg (0.619, 0.619, 0.237)
Rb (0.000, 0.000, 0.000)
Hg (0.381, 0.381, 0.763)
In (0.750, 0.250, 0.500)
Cd (0.250, 0.750, 0.500)

Output
Volume (Å³/cell): 159
E_tot (eV per cell): -5.9
E above lowest polymorph (meV/atom): 0
ΔE_f (eV/atom): -0.144
N(E_F) (states/eV per atom): 0.304